Sr2CaH6 | PBE-GGA | relaxed

Output
- Total DFT energy (no corrections): -3.37 eV/atom
- SG: No. 71
- Calculated density: 2.7 g/cm³

Structure (extended XYZ):
```
9
Lattice="4.028 0.000 -0.156 0.000 5.702 0.000 -1.780 -2.851 6.099" Properties=species:S:1:pos:R:3 pbc="T T T"
Sr 2.090 2.851 1.906
Sr 0.158 0.000 4.036
Ca 0.000 0.000 0.000
H 0.074 1.383 1.935
H 2.174 -1.468 4.007
H 2.174 1.468 4.007
H 2.014 1.340 -0.078
H 0.074 4.319 1.935
H 2.014 4.362 -0.078
```

***

BeHg2As | PBE-GGA | relaxed

Output
- SG: No. 65
- Calculated density: 9.9 g/cm³
- Energy relative to the elements: 585 meV per atom

Structure (extended XYZ):
```
4
Lattice="-4.191 -0.395 2.272 -0.203 -1.745 -4.449 1.033 -3.450 1.306" Properties=species:S:1:pos:R:3 pbc="T T T"
Be 0.415 -2.598 -1.572
As -1.579 -1.922 1.789
Hg 0.000 0.000 0.000
Hg -2.197 -1.070 -1.089
```

***

AlCdIO6 | PBE-GGA | relaxed

Output
- SG: No. 163
- Calculated density: 5.5 g/cm³
- Energy relative to the elements, uncorrected: -1.26 eV per atom

Structure (extended XYZ):
```
18
Lattice="5.065 0.000 0.000 -2.533 4.387 0.000 0.000 0.000 9.895" Properties=species:S:1:pos:R:3 pbc="T T T"
Al 0.000 2.925 2.474
Al 2.533 1.462 7.421
Cd 0.000 0.000 0.000
Cd 0.000 0.000 4.948
I 2.533 1.462 2.474
I 0.000 2.925 7.421
O 1.598 2.747 1.418
O 4.113 1.629 1.418
O -0.646 4.377 6.366
O -1.580 2.758 8.477
O 0.952 1.629 3.529
O 3.468 2.747 3.529
O 0.646 4.377 8.477
O 3.178 0.010 3.529
O -0.935 1.639 6.366
O 1.887 0.010 1.418
O 1.580 2.758 6.366
O 0.935 1.639 8.477
```

***

Ce2Sm3YAs6 | PBE-GGA | relaxed

Output
- SG: No. 12
- Calculated density: 6.7 g/cm³
- Energy relative to the elements: -1503 meV per atom

Structure (extended XYZ):
```
12
Lattice="4.202 0.000 0.000 0.000 8.397 0.299 -2.101 -2.419 8.822" Properties=species:S:1:pos:R:3 pbc="T T T"
Ce 2.101 3.994 6.099
Ce 0.000 1.984 3.022
Sm 2.101 4.198 0.149
Sm 2.101 -0.226 5.936
Sm 0.000 6.203 3.185
Y 2.101 0.000 0.000
As 0.000 6.067 6.179
As 2.101 4.079 3.127
As 2.101 -0.090 2.942
As 0.000 2.070 0.083
As 2.101 3.907 9.038
As 0.000 1.899 5.994
```

***

LuHfInPd | PBE-GGA | relaxed

Output
- SG: No. 216
- Calculated density: 11.1 g/cm³
- Energy relative to the elements: -394 meV per atom

Structure (extended XYZ):
```
4
Lattice="-4.259 -2.309 -1.006 -0.703 -4.661 1.505 -3.210 -0.967 3.639" Properties=species:S:1:pos:R:3 pbc="T T T"
Lu -2.043 -1.984 1.034
Hf -6.128 -5.953 3.103
Pd -4.085 -3.969 2.069
In 0.000 0.000 0.000
```

***

Rb2AgI7 | PBE-GGA | relaxed

Output
- SG: No. 139
- Calculated density: 4.0 g/cm³
- Energy relative to the elements, uncorrected: -0.58 eV per atom

Structure (extended XYZ):
```
10
Lattice="8.782 0.000 0.000 0.000 8.782 0.000 4.391 4.391 6.239" Properties=species:S:1:pos:R:3 pbc="T T T"
I 0.000 0.000 0.000
I 4.391 4.391 3.309
I 8.782 8.782 2.930
I 2.454 2.454 0.000
I 6.328 6.328 0.000
I 6.328 2.454 0.000
I 2.454 6.328 0.000
Rb 8.782 4.391 3.120
Rb 4.391 8.782 3.120
Ag 4.391 4.391 0.000
```

***

Se4Br | PBE-GGA | relaxed

Output
- SG: No. 221
- Calculated density: 4.8 g/cm³
- Energy relative to the elements, uncorrected: 1.19 eV per atom

Structure (extended XYZ):
```
5
Lattice="-0.951 3.182 -3.965 -4.775 0.827 1.808 1.746 3.993 2.785" Properties=species:S:1:pos:R:3 pbc="T T T"
Se 0.000 0.000 0.000
Se 0.398 3.587 -0.590
Se -1.514 2.410 2.297
Se -2.863 2.004 -1.079
Br -1.990 4.001 0.314
```

***

K2CuI | PBE-GGA | relaxed

Output
- SG: No. 122
- Calculated density: 2.3 g/cm³
- Energy relative to the elements, uncorrected: -0.38 eV per atom

Structure (extended XYZ):
```
8
Lattice="8.866 0.000 0.000 0.000 8.866 0.000 4.433 4.433 4.852" Properties=species:S:1:pos:R:3 pbc="T T T"
I 0.000 0.000 0.000
I 8.866 4.433 2.426
K 6.509 2.216 1.213
K 2.356 6.649 1.213
K 6.649 6.789 3.639
K 11.082 10.942 3.639
Cu 4.433 4.433 0.000
Cu 4.433 8.866 2.426
```

***

In4Re3 | PBE-GGA | relaxed

Output
- SG: No. 139
- Calculated density: 13.0 g/cm³
- Energy relative to the elements: 560 meV per atom

Structure (extended XYZ):
```
7
Lattice="4.298 1.072 10.734 -0.301 2.179 11.402 -2.490 -3.924 -10.642" Properties=species:S:1:pos:R:3 pbc="T T T"
In 3.409 2.772 18.877
In 0.589 0.479 3.259
In 2.259 1.837 12.510
In 1.738 1.413 9.626
Re 0.000 0.000 0.000
Re 2.880 2.342 15.951
Re 1.117 0.908 6.185
```

***

BaRe2Si | PBE-GGA | relaxed

Output
- SG: No. 99
- Calculated density: 11.0 g/cm³
- Energy relative to the elements, uncorrected: 0.34 eV per atom

Structure (extended XYZ):
```
4
Lattice="-1.491 2.765 -0.657 -1.424 -1.369 -2.529 -6.038 -2.170 4.574" Properties=species:S:1:pos:R:3 pbc="T T T"
Ba -5.940 -0.913 1.802
Re -0.497 -0.179 0.377
Re -2.950 0.161 -0.463
Si -2.585 -0.929 1.958
```

***

CaTe2Pt | PBE-GGA | relaxed

Output
- SG: No. 6
- Calculated density: 7.0 g/cm³
- Energy relative to the elements, uncorrected: -0.76 eV per atom

Structure (extended XYZ):
```
4
Lattice="4.068 0.000 0.000 0.000 4.240 -0.041 0.000 2.175 6.702" Properties=species:S:1:pos:R:3 pbc="T T T"
Ca 0.000 3.470 3.522
Te 0.000 5.632 6.309
Te 2.034 1.333 2.131
Pt 2.034 5.604 4.689
```

***

Zr2Ti5Co3 | PBE-GGA | relaxed

Output
- SG: No. 15
- Calculated density: 6.2 g/cm³
- Energy relative to the elements: -187 meV per atom

Structure (extended XYZ):
```
20
Lattice="5.348 -0.172 -0.660 -1.140 7.666 -1.553 -0.215 0.144 7.901" Properties=species:S:1:pos:R:3 pbc="T T T"
Zr 4.377 4.459 -0.204
Zr 2.099 1.325 4.173
Zr -0.385 3.179 5.892
Zr 1.893 6.314 1.514
Ti 2.377 2.277 6.842
Ti -0.924 7.461 0.765
Ti 1.616 5.361 -1.155
Ti 4.916 0.177 4.923
Ti 3.888 5.636 4.889
Ti 0.104 2.002 0.799
Ti 3.320 3.882 2.546
Ti 0.672 3.756 3.141
Ti 2.871 1.156 1.423
Ti 1.121 6.482 4.264
Co 2.250 3.951 5.077
Co -0.680 6.123 2.785
Co 1.743 3.688 0.611
Co 4.673 1.516 2.902
Co 0.208 7.536 -1.608
Co 3.785 0.103 7.295
```